First-principles (GGA+U) data for a relaxed structure of Ca3Co2Ge3O12, as listed in Alexandria via LeMat-Bulk.

Summary:
The total magnetic moment comes out at 0.3996 μB/atom. For the calculated total energy, the calculation gives -1034.86 eV per cell.

a b c (Å): 12.431 12.431 12.431
angles (deg): 90.00 90.00 90.00
Space group Ia-3d (No. 230)
One atom of each set of equivalent atoms:
Ca 0.000 0.250 0.125
Co 0.000 0.000 0.000
Ge 0.000 0.250 0.375
O 0.033 0.050 0.651